Record 1
SbOsPb2 at its PBEsol-relaxed geometry. Source: the Alexandria database, functional meta-GGA SCAN.

Unit cell a=3.522 b=4.914 c=5.228 alpha=90.00 beta=90.00 gamma=90.00
Sites, in units of the cell vectors:
Sb: 0.000 0.000 0.000
Os: 0.500 0.500 0.000
Pb: 0.000 0.500 0.500
Pb: 0.500 0.000 0.500

Properties
Raw total energy: -256.613 eV per formula unit
ΔE_f (raw): 1.02 eV per atom
Crystal system: orthorhombic

Record 2
YAsPbSe2 at its PBEsol-relaxed geometry. Source: the Alexandria database, functional meta-GGA SCAN.

Unit cell a=5.257 b=5.257 c=5.223 alpha=90.00 beta=90.00 gamma=90.00
Sites, in units of the cell vectors:
Y: 0.000 0.000 0.000
As: 0.500 0.500 0.000
Pb: 0.500 0.500 0.500
Se: 0.000 0.500 0.500
Se: 0.500 0.000 0.500

Properties
Raw total energy: -163.855 eV per formula unit
ΔE_f (raw): 0.02 eV per atom
Crystal system: tetragonal

Record 3
In2AgTe3I at its PBEsol-relaxed geometry. Source: the Alexandria database, functional meta-GGA SCAN.

Unit cell a=14.545 b=4.432 c=7.794 alpha=90.00 beta=99.88 gamma=90.00
Sites, in units of the cell vectors:
In: 0.000 0.000 0.000
In: 0.243 0.000 0.759
In: 0.500 0.500 0.000
In: 0.743 0.500 0.759
Ag: 0.495 0.000 0.474
Ag: 0.995 0.500 0.474
Te: 0.050 0.000 0.669
Te: 0.078 0.500 0.189
Te: 0.303 0.500 0.977
Te: 0.550 0.500 0.669
Te: 0.578 0.000 0.189
Te: 0.803 0.000 0.977
I: 0.299 0.000 0.437
I: 0.799 0.500 0.437

Properties
Raw total energy: -249.054 eV per formula unit
ΔE_f (raw): -0.35 eV per atom
Crystal system: monoclinic